! ZrCdRh3, optimized geometry, DFT GGA-PBE; values from VASP
! VASP energy   -5.634 eV per atom
! D(E_F)   3.91 states/eV/cell
! Energy of formation from the pure elements   0.6696 eV per atom
! Size of the total moment   0.00 μB per formula unit
&SYSTEM
  ibrav = 0, nat = 5, ntyp = 3
/
ATOMIC_SPECIES
Zr 91.22 Zr.upf
Rh 102.91 Rh.upf
Cd 112.41 Cd.upf
ATOMIC_POSITIONS angstrom
Zr 0.0000 0.0000 0.0000
Rh 0.0000 2.4008 0.0000
Rh 2.4008 0.0000 0.0000
Rh 0.0000 0.0000 2.4008
Cd 2.4008 2.4008 2.4008
CELL_PARAMETERS angstrom
4.8017 0.0000 0.0000
0.0000 4.8017 0.0000
0.0000 0.0000 4.8017